# 1
Tb2Nd5Dy2: relaxed, PBE-GGA.

Raw total energy = -4.484 eV/atom
ΔE to the lowest computed polymorph = 1.80 eV/f.u.
Total moment = 0.00 μB per atom

```
Tb2Nd5Dy2
1.0
-0.6891 -5.2002 -10.6320
-0.5595 -6.1221 3.0306
-6.8530 6.4044 3.9218
Tb Nd Dy
4 10 4
Direct
0.1352 0.6726 0.2569
0.8648 0.4157 0.7431
0.6216 0.1726 0.2569
0.3784 0.9157 0.7431
0.1839 0.6638 0.8993
0.8161 0.7645 0.1007
0.2155 0.1638 0.8993
0.7845 0.2645 0.1007
0.3734 0.0239 0.2881
0.6266 0.7359 0.7119
0.4146 0.5239 0.2881
0.5854 0.2359 0.7119
0.0077 0.6522 0.5000
0.9923 0.1522 0.5000
0.0000 0.0587 0.0000
0.5000 0.5587 0.0000
0.2555 0.3487 0.5000
0.7445 0.8487 0.5000
```



# 2
Tb5Nd2Dy3: relaxed, PBE-GGA.

Raw total energy = -4.251 eV/atom
ΔE to the lowest computed polymorph = 2.05 eV/f.u.
Total moment = 0.00 μB per atom

```
Tb5Nd2Dy3
1.0
-4.5178 2.8895 -4.2203
-8.3398 5.5309 7.1972
-1.7184 11.4699 4.1752
Tb Nd Dy
10 4 6
Direct
0.2500 0.5000 0.5000
0.7500 0.5000 0.5000
0.5006 0.7494 0.7494
0.9994 0.2506 0.2506
0.4994 0.2506 0.2506
0.0006 0.7494 0.7494
0.1251 0.4649 0.2850
0.8749 0.5351 0.7150
0.6251 0.2850 0.4649
0.3749 0.7150 0.5351
0.1246 0.7735 0.9772
0.8754 0.2265 0.0228
0.6246 0.9772 0.7735
0.3754 0.0228 0.2265
0.2500 0.0000 0.0000
0.7500 0.0000 0.0000
0.3755 0.3746 0.8745
0.6245 0.6254 0.1255
0.8755 0.8745 0.3746
0.1245 0.1255 0.6254
```



# 3
Tb4Nd3Dy: relaxed, PBE-GGA.

Raw total energy = -4.520 eV/atom
ΔE to the lowest computed polymorph = 1.07 eV/f.u.
Total moment = 0.00 μB per atom

```
Tb4Nd3Dy
1.0
3.4594 0.0000 -0.4365
-0.1722 6.6697 -1.3647
-0.2539 -1.0572 11.9154
Nd Tb Dy
3 4 1
Direct
0.0000 0.5000 0.0000
0.1260 0.8829 0.2520
0.8740 0.1171 0.7480
0.7408 0.2477 0.4816
0.2592 0.7523 0.5184
0.1249 0.3659 0.2499
0.8751 0.6341 0.7501
0.5000 0.0000 0.0000
```



# 4
Tb2Nd5Dy4: relaxed, PBE-GGA.

Raw total energy = -4.485 eV/atom
ΔE to the lowest computed polymorph = 1.37 eV/f.u.
Total moment = 0.00 μB per atom

```
Tb2Nd5Dy4
1.0
-1.6379 1.7296 2.6114
-6.3587 -6.6248 0.3995
10.5208 -3.3352 6.4159
Tb Nd Dy
2 5 4
Direct
0.2694 0.2694 0.5388
0.7306 0.7306 0.4612
0.8533 0.0546 0.7066
0.8533 0.6519 0.7066
0.1467 0.3481 0.2934
0.1467 0.9454 0.2934
0.5000 0.0000 0.0000
0.0000 0.3116 0.0000
0.5966 0.5966 0.1932
0.0000 0.6884 0.0000
0.4034 0.4034 0.8068
```



# 5
Tb2Nd2Dy: relaxed, PBE-GGA.

Raw total energy = -4.657 eV/atom
ΔE to the lowest computed polymorph = 0.00 eV/f.u.
Total moment = 0.00 μB per atom

```
Tb2Nd2Dy
1.0
-3.2534 -4.5581 2.9846
-1.6323 -6.6415 -5.1761
4.0636 -8.5703 -1.9130
Tb Nd Dy
4 4 2
Direct
0.8191 0.2440 0.9515
0.0146 0.2560 0.5485
0.1809 0.7560 0.0485
0.9854 0.7440 0.4515
0.7847 0.7532 0.8486
0.3865 0.7468 0.6514
0.2153 0.2468 0.1514
0.6135 0.2532 0.3486
0.5836 0.7500 0.2500
0.4164 0.2500 0.7500
```



# 6
Tb7Nd2Dy4: relaxed, PBE-GGA.

Raw total energy = -4.465 eV/atom
Total moment = 0.00 μB per atom

```
Tb7Nd2Dy4
1.0
6.0994 0.0000 -0.0001
-3.0497 5.2823 0.0001
-0.0001 0.0000 13.3135
Tb Nd Dy
7 2 4
Direct
0.0000 0.6428 0.7817
0.0000 0.3572 0.2183
0.0000 0.0000 0.0000
0.6428 0.0000 0.7817
0.3572 0.0000 0.2183
0.6428 0.6428 0.2183
0.3572 0.3572 0.7817
0.6667 0.3333 0.0000
0.3333 0.6667 0.0000
0.0000 0.0000 0.6055
0.0000 0.0000 0.3945
0.6667 0.3333 0.5000
0.3333 0.6667 0.5000
```



# 7
TbNd6Dy: relaxed, PBE-GGA.

Raw total energy = -4.715 eV/atom
Total moment = 0.00 μB per atom

```
TbNd6Dy
1.0
5.1584 0.0000 0.0000
0.0000 5.1584 0.0000
0.0000 0.0000 10.3165
Tb Nd Dy
1 6 1
Direct
0.0000 0.0000 0.0000
0.5000 0.5000 0.0000
0.5000 0.5000 0.5000
0.5000 0.0000 0.2502
0.5000 0.0000 0.7498
0.0000 0.5000 0.2502
0.0000 0.5000 0.7498
0.0000 0.0000 0.5000
```



# 8
Tb6Nd2Dy: relaxed, PBE-GGA.

Raw total energy = -4.545 eV/atom
ΔE to the lowest computed polymorph = 0.03 eV/f.u.
Total moment = 0.00 μB per atom

```
Tb6Nd2Dy
1.0
-6.2402 1.3709 1.7489
-4.6675 -6.1856 -5.7447
-0.6236 -5.3314 8.0148
Tb Nd Dy
12 4 2
Direct
0.5045 0.6517 0.2770
0.9955 0.7230 0.3483
0.4955 0.3483 0.7230
0.0045 0.2770 0.6517
0.7277 0.0584 0.4623
0.7723 0.5377 0.9416
0.2723 0.9416 0.5377
0.2277 0.4623 0.0584
0.3168 0.7780 0.9592
0.1832 0.0408 0.2220
0.6832 0.2220 0.0408
0.8168 0.9592 0.7780
0.1271 0.6191 0.6693
0.3729 0.3307 0.3809
0.8729 0.3809 0.3307
0.6271 0.6693 0.6191
0.2500 0.1179 0.8821
0.7500 0.8821 0.1179
```



# 9
Tb2Nd3Dy8: relaxed, PBE-GGA.

Raw total energy = -4.626 eV/atom
ΔE to the lowest computed polymorph = 0.00 eV/f.u.
Total moment = 0.00 μB per atom

```
Tb2Nd3Dy8
1.0
5.0226 0.5610 0.2255
-0.9569 7.5578 2.4486
-2.6865 -2.7387 10.0076
Tb Nd Dy
2 3 8
Direct
0.7689 0.8461 0.5376
0.2311 0.1539 0.4624
0.0000 0.0000 0.0000
0.4615 0.3069 0.9221
0.5385 0.6931 0.0779
0.0778 0.3859 0.1566
0.9222 0.6141 0.8434
0.1552 0.7692 0.3112
0.8448 0.2308 0.6888
0.3832 0.9210 0.7658
0.3072 0.5392 0.6138
0.6928 0.4608 0.3862
0.6168 0.0790 0.2342
```



# 10
Tb5Nd2Dy: relaxed, PBE-GGA.

Raw total energy = -4.645 eV/atom
ΔE to the lowest computed polymorph = 0.00 eV/f.u.
Total moment = 0.00 μB per atom

```
Tb5Nd2Dy
1.0
-3.6882 -3.2533 1.2253
2.2804 -4.5059 -5.0994
8.7263 -6.3199 9.4867
Tb Nd Dy
10 4 2
Direct
0.0000 0.0000 0.0000
0.0000 0.5000 0.5000
0.0000 0.4989 0.7501
0.0000 0.5011 0.2499
0.0000 0.0011 0.2501
0.0000 0.9989 0.7499
0.5000 0.2491 0.8750
0.5000 0.7509 0.1250
0.5000 0.2509 0.3750
0.5000 0.7491 0.6250
0.5000 0.2492 0.6248
0.5000 0.7508 0.3752
0.5000 0.2508 0.1248
0.5000 0.7492 0.8752
0.0000 0.0000 0.5000
0.0000 0.5000 0.0000
```



# 11
Tb2NdDy: relaxed, PBE-GGA.

Raw total energy = -4.516 eV/atom
ΔE to the lowest computed polymorph = 0.51 eV/f.u.
Total moment = 0.00 μB per atom

```
Tb2NdDy
1.0
-3.8333 -4.2345 -0.0937
1.4637 -5.2183 1.8056
-2.1324 -2.0312 4.8949
Nd Tb Dy
1 2 1
Direct
0.5000 0.5000 0.5000
0.2500 0.2500 0.2500
0.7500 0.7500 0.7500
0.0000 0.0000 0.0000
```



# 12
Tb2Nd7Dy3: relaxed, PBE-GGA.

Raw total energy = -4.634 eV/atom
ΔE to the lowest computed polymorph = 0.00 eV/f.u.
Total moment = 0.00 μB per atom

```
Tb2Nd7Dy3
1.0
3.5738 0.0000 0.0000
0.0000 6.4246 0.8792
0.0000 2.2619 18.0334
Tb Nd Dy
2 7 3
Direct
0.5000 0.6111 0.3300
0.5000 0.3889 0.6700
0.5000 0.2372 0.5055
0.5000 0.7628 0.4945
0.0000 0.5564 0.1671
0.0000 0.0000 0.0000
0.0000 0.4436 0.8329
0.5000 0.9468 0.8286
0.5000 0.0532 0.1714
0.5000 0.5000 0.0000
0.0000 0.1148 0.3404
0.0000 0.8852 0.6596
```



| no. | energy of formation from the pure elements (meV/atom) |
| --- | --- |
| 1 | 217 |
| 2 | 399 |
| 3 | 158 |
| 4 | 198 |
| 5 | 23 |
| 6 | 178 |
| 7 | 15 |
| 8 | 112 |
| 9 | 19 |
| 10 | 16 |
| 11 | 142 |
| 12 | 69 |